A PBEsol-optimized structure of Nd2FeSb4. Source: Alexandria via LeMat-Bulk, functional SCAN.

a b c (Å): 4.358 4.358 9.512
angles (deg): 90.00 90.00 90.00
Sites, in units of the cell vectors:
Nd 0.000 0.500 0.236
Nd 0.500 0.000 0.764
Fe 0.500 0.500 0.000
Sb 0.000 0.000 0.500
Sb 0.000 0.500 0.875
Sb 0.500 0.000 0.125
Sb 0.500 0.500 0.500

Summary:
Formation energy without anion corrections: -5.22 eV/f.u.
Mass density: 7.64 g cm⁻³
Fermi-level density of states: 0.505 states/eV per atom


A PBEsol-optimized structure of TlCr2Cd. Source: Alexandria via LeMat-Bulk, functional SCAN.

a b c (Å): 4.760 4.760 4.760
angles (deg): 60.00 60.00 60.00
Sites, in units of the cell vectors:
Tl 0.000 0.000 0.000
Cr 0.500 0.500 0.500
Cr 0.750 0.750 0.750
Cd 0.250 0.250 0.250

Summary:
Mass density: 9.16 g cm⁻³
Formation energy: 0.370 eV/atom
Fermi-level density of states: 0.339 states/eV per atom


A PBEsol-optimized structure of ScPb3. Source: Alexandria via LeMat-Bulk, functional SCAN.

a b c (Å): 10.989 10.989 10.989
angles (deg): 17.88 17.88 17.88
Sites, in units of the cell vectors:
Sc 0.000 0.000 0.000
Pb 0.257 0.257 0.257
Pb 0.500 0.500 0.500
Pb 0.743 0.743 0.743

Summary:
Mass density: 10.14 g cm⁻³
Formation energy: -0.096 eV/atom
Fermi-level density of states: 1.046 states/eV per atom


A PBEsol-optimized structure of K2TlTc. Source: Alexandria via LeMat-Bulk, functional SCAN.

a b c (Å): 5.646 5.646 5.646
angles (deg): 60.00 60.00 60.00
Sites, in units of the cell vectors:
K 0.250 0.250 0.250
K 0.750 0.750 0.750
Tl 0.000 0.000 0.000
Tc 0.500 0.500 0.500

Summary:
Energy above the most stable polymorph in this dataset: 183 meV per atom
Mass density: 4.97 g cm⁻³
Formation energy: 1.009 eV/atom
Fermi-level density of states: 0.651 states/eV per atom


A PBEsol-optimized structure of CrRuRh3. Source: Alexandria via LeMat-Bulk, functional SCAN.

a b c (Å): 4.319 4.319 4.319
angles (deg): 90.00 90.00 90.00
Sites, in units of the cell vectors:
Cr 0.000 0.000 0.000
Ru 0.500 0.500 0.500
Rh 0.000 0.000 0.500
Rh 0.000 0.500 0.000
Rh 0.500 0.000 0.000

Summary:
Mass density: 9.52 g cm⁻³
Formation energy: 1.226 eV/atom
Fermi-level density of states: 0.971 states/eV per atom


A PBEsol-optimized structure of Si2Ag6O7. Source: Alexandria via LeMat-Bulk, functional SCAN.

a b c (Å): 8.013 8.013 10.474
angles (deg): 102.16 102.16 74.51
Sites, in units of the cell vectors:
Si 0.105 0.105 0.128
Si 0.199 0.199 0.611
Si 0.347 0.347 0.124
Si 0.653 0.653 0.876
Si 0.801 0.801 0.389
Si 0.895 0.895 0.872
Ag 0.005 0.368 0.867
Ag 0.096 0.452 0.369
Ag 0.150 0.845 0.660
Ag 0.155 0.850 0.340
Ag 0.277 0.558 0.851
Ag 0.368 0.005 0.867
Ag 0.442 0.723 0.149
Ag 0.452 0.096 0.369
Ag 0.460 0.460 0.628
Ag 0.540 0.540 0.372
Ag 0.548 0.904 0.631
Ag 0.558 0.277 0.851
Ag 0.632 0.995 0.133
Ag 0.723 0.442 0.149
Ag 0.845 0.150 0.660
Ag 0.850 0.155 0.340
Ag 0.904 0.548 0.631
Ag 0.995 0.632 0.133
O 0.000 0.000 0.000
O 0.015 0.737 0.438
O 0.027 0.751 0.782
O 0.211 0.211 0.065
O 0.246 0.246 0.776
O 0.247 0.531 0.066
O 0.249 0.973 0.218
O 0.263 0.985 0.562
O 0.299 0.299 0.537
O 0.376 0.376 0.286
O 0.469 0.753 0.934
O 0.531 0.247 0.066
O 0.624 0.624 0.714
O 0.701 0.701 0.463
O 0.737 0.015 0.438
O 0.751 0.027 0.782
O 0.753 0.469 0.934
O 0.754 0.754 0.224
O 0.789 0.789 0.935
O 0.973 0.249 0.218
O 0.985 0.263 0.562

Summary:
Formation energy without anion corrections: -19.27 eV/f.u.
Mass density: 6.50 g cm⁻³


A PBEsol-optimized structure of CaCd2Au2. Source: Alexandria via LeMat-Bulk, functional SCAN.

a b c (Å): 7.121 7.121 7.121
angles (deg): 146.25 146.25 48.47
Sites, in units of the cell vectors:
Ca 0.000 0.000 0.000
Cd 0.250 0.750 0.500
Cd 0.750 0.250 0.500
Au 0.398 0.398 0.000
Au 0.602 0.602 0.000

Summary:
Energy above the most stable polymorph in this dataset: 0 meV per atom
Mass density: 9.86 g cm⁻³
Formation energy: -0.585 eV/atom
Fermi-level density of states: 0.383 states/eV per atom


A PBEsol-optimized structure of RbCu2I3. Source: Alexandria via LeMat-Bulk, functional SCAN.

a b c (Å): 13.686 5.162 11.025
angles (deg): 90.00 90.00 90.00
Sites, in units of the cell vectors:
Rb 0.177 0.250 0.025
Rb 0.323 0.750 0.525
Rb 0.677 0.250 0.475
Rb 0.823 0.750 0.975
Cu 0.023 0.000 0.340
Cu 0.023 0.500 0.340
Cu 0.477 0.000 0.840
Cu 0.477 0.500 0.840
Cu 0.523 0.000 0.160
Cu 0.523 0.500 0.160
Cu 0.977 0.000 0.660
Cu 0.977 0.500 0.660
I 0.071 0.750 0.826
I 0.107 0.250 0.526
I 0.171 0.750 0.252
I 0.329 0.250 0.752
I 0.393 0.750 0.026
I 0.429 0.250 0.326
I 0.571 0.750 0.674
I 0.607 0.250 0.974
I 0.671 0.750 0.248
I 0.829 0.250 0.748
I 0.893 0.750 0.474
I 0.929 0.250 0.174

Summary:
Formation energy without anion corrections: -3.88 eV/f.u.
Mass density: 5.06 g cm⁻³
Fermi-level density of states: 0.000 states/eV per atom


A PBEsol-optimized structure of BaZn. Source: Alexandria via LeMat-Bulk, functional SCAN.

a b c (Å): 6.431 6.431 6.431
angles (deg): 144.06 128.19 64.67
Sites, in units of the cell vectors:
Ba 0.344 0.094 0.250
Ba 0.656 0.906 0.750
Zn 0.071 0.321 0.750
Zn 0.929 0.679 0.250

Summary:
Mass density: 5.56 g cm⁻³
Formation energy: -0.150 eV/atom
Fermi-level density of states: 0.843 states/eV per atom


A PBEsol-optimized structure of LuTc2. Source: Alexandria via LeMat-Bulk, functional SCAN.

a b c (Å): 5.249 5.249 8.652
angles (deg): 90.00 90.00 120.00
Sites, in units of the cell vectors:
Lu 0.333 0.667 0.063
Lu 0.333 0.667 0.437
Lu 0.667 0.333 0.563
Lu 0.667 0.333 0.937
Tc 0.000 0.000 0.000
Tc 0.000 0.000 0.500
Tc 0.172 0.343 0.750
Tc 0.172 0.828 0.750
Tc 0.343 0.172 0.250
Tc 0.657 0.828 0.750
Tc 0.828 0.172 0.250
Tc 0.828 0.657 0.250

Summary:
Mass density: 11.94 g cm⁻³
Formation energy: -0.360 eV/atom
Fermi-level density of states: 0.907 states/eV per atom


A PBEsol-optimized structure of Rb2Ge2S5. Source: Alexandria via LeMat-Bulk, functional SCAN.

a b c (Å): 10.943 10.943 9.048
angles (deg): 100.05 100.05 90.05
Sites, in units of the cell vectors:
Rb 0.056 0.211 0.122
Rb 0.211 0.056 0.622
Rb 0.211 0.476 0.625
Rb 0.476 0.211 0.125
Rb 0.524 0.789 0.875
Rb 0.789 0.524 0.375
Rb 0.789 0.944 0.378
Rb 0.944 0.789 0.878
Ge 0.133 0.731 0.386
Ge 0.267 0.527 0.099
Ge 0.269 0.867 0.114
Ge 0.473 0.733 0.401
Ge 0.527 0.267 0.599
Ge 0.731 0.133 0.886
Ge 0.733 0.473 0.901
Ge 0.867 0.269 0.614
S 0.003 0.247 0.471
S 0.113 0.543 0.239
S 0.114 0.886 0.250
S 0.244 0.353 0.949
S 0.245 0.680 0.958
S 0.247 0.003 0.971
S 0.320 0.755 0.542
S 0.353 0.244 0.449
S 0.454 0.546 0.250
S 0.457 0.887 0.261
S 0.543 0.113 0.739
S 0.546 0.454 0.750
S 0.647 0.756 0.551
S 0.680 0.245 0.458
S 0.753 0.997 0.029
S 0.755 0.320 0.042
S 0.756 0.647 0.051
S 0.886 0.114 0.750
S 0.887 0.457 0.761
S 0.997 0.753 0.529

Summary:
Formation energy without anion corrections: -8.07 eV/f.u.
Mass density: 3.01 g cm⁻³
Fermi-level density of states: 0.000 states/eV per atom


A PBEsol-optimized structure of CdSb2TeN. Source: Alexandria via LeMat-Bulk, functional SCAN.

a b c (Å): 4.800 4.800 4.653
angles (deg): 90.00 90.00 90.00
Sites, in units of the cell vectors:
Cd 0.000 0.000 0.000
Sb 0.000 0.500 0.500
Sb 0.500 0.000 0.500
Te 0.500 0.500 0.000
N 0.500 0.500 0.500

Summary:
Formation energy without anion corrections: 3.34 eV/f.u.
Energy above the most stable polymorph in this dataset: 0 meV per atom
Mass density: 7.71 g cm⁻³
Fermi-level density of states: 0.586 states/eV per atom


A PBEsol-optimized structure of CaTaSe2. Source: Alexandria via LeMat-Bulk, functional SCAN.

a b c (Å): 3.812 3.812 5.558
angles (deg): 90.00 90.00 90.00
Sites, in units of the cell vectors:
Ca 0.000 0.000 0.000
Ta 0.500 0.500 0.588
Se 0.000 0.000 0.509
Se 0.500 0.500 0.074

Summary:
Formation energy without anion corrections: -2.91 eV/f.u.
Energy above the most stable polymorph in this dataset: 221 meV per atom
Mass density: 7.79 g cm⁻³
Fermi-level density of states: 0.752 states/eV per atom


A PBEsol-optimized structure of SnGeP2O. Source: Alexandria via LeMat-Bulk, functional SCAN.

a b c (Å): 5.047 5.047 3.878
angles (deg): 90.00 90.00 90.00
Sites, in units of the cell vectors:
Sn 0.000 0.000 0.000
Ge 0.500 0.500 0.500
P 0.000 0.500 0.000
P 0.500 0.000 0.000
O 0.000 0.000 0.500

Summary:
Formation energy without anion corrections: 2.55 eV/f.u.
Mass density: 4.53 g cm⁻³
Fermi-level density of states: 0.614 states/eV per atom


A PBEsol-optimized structure of K2LaFe. Source: Alexandria via LeMat-Bulk, functional SCAN.

a b c (Å): 5.770 5.770 5.770
angles (deg): 60.00 60.00 60.00
Sites, in units of the cell vectors:
K 0.250 0.250 0.250
K 0.750 0.750 0.750
La 0.000 0.000 0.000
Fe 0.500 0.500 0.500

Summary:
Energy above the most stable polymorph in this dataset: 254 meV per atom
Mass density: 3.34 g cm⁻³
Formation energy: 1.050 eV/atom
Fermi-level density of states: 1.067 states/eV per atom


A PBEsol-optimized structure of Ba2LiFe. Source: Alexandria via LeMat-Bulk, functional SCAN.

a b c (Å): 3.718 3.718 9.011
angles (deg): 90.00 90.00 90.00
Sites, in units of the cell vectors:
Ba 0.000 0.000 0.000
Ba 0.500 0.500 0.406
Li 0.500 0.500 0.743
Fe 0.000 0.000 0.647

Summary:
Energy above the most stable polymorph in this dataset: 42 meV per atom
Mass density: 4.50 g cm⁻³
Formation energy: 0.502 eV/atom
Fermi-level density of states: 1.267 states/eV per atom


A PBEsol-optimized structure of SiNi2Ir. Source: Alexandria via LeMat-Bulk, functional SCAN.

a b c (Å): 4.258 4.258 4.258
angles (deg): 128.19 128.19 76.31
Sites, in units of the cell vectors:
Si 0.000 0.000 0.000
Ni 0.250 0.750 0.500
Ni 0.500 0.500 0.000
Ir 0.750 0.250 0.500

Summary:
Formation energy without anion corrections: -1.59 eV/f.u.
Mass density: 12.10 g cm⁻³
Fermi-level density of states: 1.341 states/eV per atom


A PBEsol-optimized structure of Ta2HIr. Source: Alexandria via LeMat-Bulk, functional SCAN.

a b c (Å): 4.332 4.332 4.332
angles (deg): 60.00 60.00 60.00
Sites, in units of the cell vectors:
Ta 0.250 0.250 0.250
Ta 0.750 0.750 0.750
H 0.000 0.000 0.000
Ir 0.500 0.500 0.500

Summary:
Total DFT energy (no corrections): -51.8143 eV per atom
Mass density: 16.03 g cm⁻³
Fermi-level density of states: 0.891 states/eV per atom


A PBEsol-optimized structure of PbF3. Source: Alexandria via LeMat-Bulk, functional SCAN.

a b c (Å): 5.323 5.323 8.889
angles (deg): 90.00 90.00 90.00
Sites, in units of the cell vectors:
Pb 0.000 0.000 0.000
Pb 0.000 0.000 0.500
Pb 0.500 0.500 0.250
Pb 0.500 0.500 0.750
F 0.204 0.204 0.158
F 0.204 0.204 0.842
F 0.204 0.796 0.342
F 0.204 0.796 0.658
F 0.282 0.282 0.500
F 0.282 0.718 0.000
F 0.718 0.282 0.000
F 0.718 0.718 0.500
F 0.796 0.204 0.342
F 0.796 0.204 0.658
F 0.796 0.796 0.158
F 0.796 0.796 0.842

Summary:
Formation energy without anion corrections: -8.60 eV/f.u.
Mass density: 6.97 g cm⁻³
Fermi-level density of states: 0.000 states/eV per atom


A PBEsol-optimized structure of ScAu3. Source: Alexandria via LeMat-Bulk, functional SCAN.

a b c (Å): 5.837 5.837 4.742
angles (deg): 90.00 90.00 120.00
Sites, in units of the cell vectors:
Sc 0.333 0.667 0.250
Sc 0.667 0.333 0.750
Au 0.167 0.334 0.750
Au 0.167 0.833 0.750
Au 0.334 0.167 0.250
Au 0.666 0.833 0.750
Au 0.833 0.167 0.250
Au 0.833 0.666 0.250

Summary:
Mass density: 15.09 g cm⁻³
Formation energy: -0.739 eV/atom
Fermi-level density of states: 0.479 states/eV per atom


A PBEsol-optimized structure of Cd2TcSe. Source: Alexandria via LeMat-Bulk, functional SCAN.

a b c (Å): 6.221 6.221 4.688
angles (deg): 110.34 110.34 28.38
Sites, in units of the cell vectors:
Cd 0.000 0.000 0.000
Cd 0.176 0.176 0.664
Tc 0.462 0.462 0.467
Se 0.799 0.799 0.289

Summary:
Formation energy without anion corrections: 0.33 eV/f.u.
Mass density: 8.29 g cm⁻³
Fermi-level density of states: 0.361 states/eV per atom


A PBEsol-optimized structure of Na3ScCl6. Source: Alexandria via LeMat-Bulk, functional SCAN.

a b c (Å): 6.647 7.124 11.764
angles (deg): 90.00 123.73 90.00
Sites, in units of the cell vectors:
Na 0.000 0.000 0.000
Na 0.000 0.500 0.500
Na 0.210 0.085 0.743
Na 0.210 0.415 0.243
Na 0.790 0.585 0.757
Na 0.790 0.915 0.257
Sc 0.500 0.000 0.500
Sc 0.500 0.500 0.000
Cl 0.134 0.178 0.437
Cl 0.134 0.322 0.937
Cl 0.258 0.706 0.423
Cl 0.258 0.794 0.923
Cl 0.405 0.056 0.266
Cl 0.405 0.444 0.766
Cl 0.595 0.556 0.234
Cl 0.595 0.944 0.734
Cl 0.742 0.206 0.077
Cl 0.742 0.294 0.577
Cl 0.866 0.678 0.063
Cl 0.866 0.822 0.563

Summary:
Formation energy without anion corrections: -21.73 eV/f.u.
Mass density: 2.34 g cm⁻³
Fermi-level density of states: 0.000 states/eV per atom